DFT (PBE) results for a geometry-optimized Ac2RuPtO6 structure.

a = 5.2317 Å, b = 5.4711 Å, c = 6.0778 Å
α = 116.75°, β = 108.28°, γ = 90.00°
Closest atoms and distances in Å follow each position.
Fractional positions:
O  0.2753  0.6885  0.3771  1 Ru 2.05
O  0.1886  0.1717  0.8504  1 Ru 2.03, 1 Pt 2.05
O  0.7247  0.3115  0.6229  1 Ru 2.05
O  0.1886  0.6787  0.8504  1 Ru 2.03, 1 Pt 2.05
O  0.8114  0.3213  0.1496  1 Ru 2.03, 1 Pt 2.05
O  0.8114  0.8283  0.1496  1 Ru 2.03, 1 Pt 2.05
Ac  0.7776  0.7677  0.5354  5 O 2.46-2.60
Ac  0.2224  0.2323  0.4646  5 O 2.46-2.60
Ru  0.0000  0.5000  0.0000  6 O 2.03-2.05
Pt  0.5000  0.0000  0.0000  4 O 2.05

Properties
- theoretical density (g cm⁻³) = 9.66
- magnetic moment (μB/cell) = 2.00
- uncorrected energy (eV/atom) = -7.353
- raw formation energy (kJ per mole of atoms) = -195